Entry 1:
Computed, not measured: Np2Pd7Au3 after structural relaxation at the PBE-GGA level of DFT.

The space group is P2/m (No. 10) and the conventional cell measures 4.440, 4.298 and 12.448 Å, with angles of 90.00, 100.25 and 90.00 degrees. The asymmetric unit holds Np at (0.150, 0.000, 0.300), Pd at (0.073, 0.500, 0.147), Pd at (0.281, 0.000, 0.561), Pd at (0.426, 0.000, 0.851), Pd at (0.500, 0.500, 0.000), Au at (0.000, 0.000, 0.000) and Au at (0.351, 0.500, 0.703).

Its formation energy from the elements is -9.1 kJ/mol of atoms.

=====

Entry 2:
Computed, not measured: NpPd3Au3 after structural relaxation at the PBE-GGA level of DFT.

The space group is P2_13 (No. 198) and the conventional cell measures 8.091, 8.091 and 8.091 Å, with angles of 90.00, 90.00 and 90.00 degrees. The asymmetric unit holds Np at (0.049, 0.451, 0.549), Pd at (0.005, 0.314, 0.894), Au at (0.131, 0.631, 0.869), Au at (0.166, 0.166, 0.166) and Au at (0.188, 0.812, 0.312).

Its formation energy from the elements is -15.5 kJ/mol of atoms.

=====

Entry 3:
Computed, not measured: NpPdPtAu after structural relaxation at the PBE-GGA level of DFT.

The space group is F-43m (No. 216) and the conventional cell measures 6.749, 6.749 and 6.749 Å, with angles of 90.00, 90.00 and 90.00 degrees. The asymmetric unit holds Np at (0.000, 0.000, 0.000), Pd at (0.000, 0.000, 0.500), Pt at (0.250, 0.250, 0.750) and Au at (0.250, 0.250, 0.250).

Its formation energy from the elements is -24.7 kJ/mol of atoms.

=====

Entry 4:
Computed, not measured: NpPdRhAu after structural relaxation at the PBE-GGA level of DFT.

The space group is F-43m (No. 216) and the conventional cell measures 6.633, 6.633 and 6.633 Å, with angles of 90.00, 90.00 and 90.00 degrees. The asymmetric unit holds Np at (0.000, 0.000, 0.000), Pd at (0.250, 0.250, 0.750), Rh at (0.250, 0.250, 0.250) and Au at (0.000, 0.000, 0.500).

The distance to the lowest polymorph of the same formula is 72.8 meV/atom. Its formation energy from the elements is -27.9 kJ/mol of atoms.

=====

Entry 5:
Computed, not measured: NpPdRhAu after structural relaxation at the PBE-GGA level of DFT.

The space group is Pmmm (No. 47) and the conventional cell measures 3.900, 4.147 and 4.470 Å, with angles of 90.00, 90.00 and 90.00 degrees. The asymmetric unit holds Np at (0.000, 0.000, 0.000), Pd at (0.500, 0.000, 0.500), Rh at (0.500, 0.500, 0.000) and Au at (0.000, 0.500, 0.500).

The distance to the lowest polymorph of the same formula is 0.0 meV/atom. Its formation energy from the elements is -34.9 kJ/mol of atoms.

=====

Entry 6:
Computed, not measured: NpSbPdAu after structural relaxation at the PBE-GGA level of DFT.

The space group is F-43m (No. 216) and the conventional cell measures 6.993, 6.993 and 6.993 Å, with angles of 90.00, 90.00 and 90.00 degrees. The asymmetric unit holds Np at (0.000, 0.000, 0.000), Sb at (0.250, 0.250, 0.250), Pd at (0.000, 0.000, 0.500) and Au at (0.250, 0.250, 0.750).

As for the formation energy without anion corrections: -0.191 eV/atom.

=====

Entry 7:
Computed, not measured: NpSnPdAu after structural relaxation at the PBE-GGA level of DFT.

The space group is F-43m (No. 216) and the conventional cell measures 6.961, 6.961 and 6.961 Å, with angles of 90.00, 90.00 and 90.00 degrees. The asymmetric unit holds Np at (0.000, 0.000, 0.000), Sn at (0.000, 0.000, 0.500), Pd at (0.250, 0.250, 0.750) and Au at (0.250, 0.250, 0.250).

Its formation energy from the elements is -25.5 kJ/mol of atoms.

=====

Entry 8:
Computed, not measured: NpTlPdAu after structural relaxation at the PBE-GGA level of DFT.

The space group is F-43m (No. 216) and the conventional cell measures 7.024, 7.024 and 7.024 Å, with angles of 90.00, 90.00 and 90.00 degrees. The asymmetric unit holds Np at (0.000, 0.000, 0.000), Tl at (0.000, 0.000, 0.500), Pd at (0.250, 0.250, 0.750) and Au at (0.250, 0.250, 0.250).

Its formation energy from the elements is -7.1 kJ/mol of atoms.

=====

Entry 9:
Computed, not measured: NpUPdAu after structural relaxation at the PBE-GGA level of DFT.

The space group is F-43m (No. 216) and the conventional cell measures 6.787, 6.787 and 6.787 Å, with angles of 90.00, 90.00 and 90.00 degrees. The asymmetric unit holds Np at (0.000, 0.000, 0.000), U at (0.250, 0.250, 0.250), Pd at (0.000, 0.000, 0.500) and Au at (0.250, 0.250, 0.750).

Its formation energy from the elements is -27.1 kJ/mol of atoms.

=====

Entry 10:
Computed, not measured: PmNpAu after structural relaxation at the PBE-GGA level of DFT.

The space group is C2/m (No. 12) and the conventional cell measures 10.131, 3.490 and 8.701 Å, with angles of 90.00, 104.12 and 90.00 degrees. The asymmetric unit holds Pm at (0.166, 0.000, 0.134), Np at (0.166, 0.500, 0.466) and Au at (0.084, 0.000, 0.730).

Its formation energy from the elements is -13.2 kJ/mol of atoms.

=====

Entry 11:
Computed, not measured: PmNpRuAu after structural relaxation at the PBE-GGA level of DFT.

The space group is F-43m (No. 216) and the conventional cell measures 7.084, 7.084 and 7.084 Å, with angles of 90.00, 90.00 and 90.00 degrees. The asymmetric unit holds Pm at (0.000, 0.000, 0.000), Np at (0.000, 0.000, 0.500), Ru at (0.250, 0.250, 0.750) and Au at (0.250, 0.250, 0.250).

Its formation energy from the elements is -10.3 kJ/mol of atoms.

=====

Entry 12:
Computed, not measured: Pm2NpSi3Au12 after structural relaxation at the PBE-GGA level of DFT.

The space group is R-3m (No. 166, hexagonal axes) and the conventional cell measures 8.9448, 8.9448 and 17.9085 Å, with angles of 90.00, 90.00 and 120.00 degrees. The asymmetric unit holds Pm at (0.0000, 0.0000, 0.0946), Np at (0.0000, 0.0000, 0.5000), Si at (0.0000, 0.5000, 0.0000), Au at (0.0301, 0.5151, 0.3140) and Au at (0.0421, 0.5210, 0.8637).

As for the formation energy without anion corrections: -0.091 eV/atom.

=====

Entry 13:
Computed, not measured: PmNpSnAu after structural relaxation at the PBE-GGA level of DFT.

The space group is F-43m (No. 216) and the conventional cell measures 7.408, 7.408 and 7.408 Å, with angles of 90.00, 90.00 and 90.00 degrees. The asymmetric unit holds Pm at (0.000, 0.000, 0.000), Np at (0.250, 0.250, 0.250), Sn at (0.000, 0.000, 0.500) and Au at (0.250, 0.250, 0.750).

Its formation energy from the elements is 11.3 kJ/mol of atoms.

=====

Entry 14:
Computed, not measured: PrNpAu2 after structural relaxation at the PBE-GGA level of DFT.

The space group is P4/mmm (No. 123) and the conventional cell measures 3.646, 3.646 and 7.495 Å, with angles of 90.00, 90.00 and 90.00 degrees. The asymmetric unit holds Pr at (0.000, 0.000, 0.000), Np at (0.000, 0.000, 0.500) and Au at (0.500, 0.500, 0.260).

Its formation energy from the elements is -32.9 kJ/mol of atoms.

=====

Entry 15:
Computed, not measured: PrNpAu4 after structural relaxation at the PBE-GGA level of DFT.

The space group is F-43m (No. 216) and the conventional cell measures 8.100, 8.100 and 8.100 Å, with angles of 90.00, 90.00 and 90.00 degrees. The asymmetric unit holds Pr at (0.000, 0.000, 0.000), Np at (0.250, 0.250, 0.750) and Au at (0.125, 0.125, 0.375).

Its formation energy from the elements is -22.2 kJ/mol of atoms.

=====

Entry 16:
Computed, not measured: NpPtAu4 after structural relaxation at the PBE-GGA level of DFT.

The space group is F-43m (No. 216) and the conventional cell measures 7.790, 7.790 and 7.790 Å, with angles of 90.00, 90.00 and 90.00 degrees. The asymmetric unit holds Np at (0.000, 0.000, 0.000), Pt at (0.250, 0.250, 0.750) and Au at (0.125, 0.125, 0.375).

Its formation energy from the elements is -8.2 kJ/mol of atoms.

=====

Entry 17:
Computed, not measured: NpPt6Au after structural relaxation at the PBE-GGA level of DFT.

The space group is Pm-3 (No. 200) and the conventional cell measures 5.198, 5.198 and 5.198 Å, with angles of 90.00, 90.00 and 90.00 degrees. The asymmetric unit holds Np at (0.000, 0.000, 0.000), Pt at (0.000, 0.251, 0.500) and Au at (0.500, 0.500, 0.500).

The distance to the lowest polymorph of the same formula is 182.2 meV/atom. Its formation energy from the elements is -7.6 kJ/mol of atoms.

=====

Entry 18:
Computed, not measured: NpPt2Au after structural relaxation at the PBE-GGA level of DFT.

The space group is Fm-3m (No. 225) and the conventional cell measures 6.721, 6.721 and 6.721 Å, with angles of 90.00, 90.00 and 90.00 degrees. The asymmetric unit holds Np at (0.000, 0.000, 0.000), Pt at (0.250, 0.250, 0.250) and Au at (0.000, 0.000, 0.500).

Its formation energy from the elements is -38.3 kJ/mol of atoms.

=====

Entry 19:
Computed, not measured: Np2Pt9Au after structural relaxation at the PBE-GGA level of DFT.

The space group is P4/mmm (No. 123) and the conventional cell measures 4.126, 4.126 and 12.207 Å, with angles of 90.00, 90.00 and 90.00 degrees. The asymmetric unit holds Np at (0.000, 0.000, 0.174), Pt at (0.000, 0.500, 0.000), Pt at (0.000, 0.500, 0.334), Pt at (0.500, 0.500, 0.167), Pt at (0.500, 0.500, 0.500) and Au at (0.000, 0.000, 0.500).

Its formation energy from the elements is -39.0 kJ/mol of atoms.

=====

Entry 20:
Computed, not measured: Np2PtAu after structural relaxation at the PBE-GGA level of DFT.

The space group is P4/mmm (No. 123) and the conventional cell measures 4.496, 4.496 and 4.242 Å, with angles of 90.00, 90.00 and 90.00 degrees. The asymmetric unit holds Np at (0.000, 0.500, 0.000), Pt at (0.000, 0.000, 0.500) and Au at (0.500, 0.500, 0.500).

Its formation energy from the elements is -16.3 kJ/mol of atoms.

=====

Number 1: uncorrected energy -73.2 eV for the cell shown. Number 2: uncorrected energy -157.9 eV for the cell shown. Number 3: uncorrected energy -113.9 eV for the cell shown. Number 4: uncorrected energy -119.7 eV for the cell shown. Number 5: uncorrected energy -30.2 eV for the cell shown. Number 6: uncorrected energy -105.2 eV for the cell shown. Number 7: uncorrected energy -105.9 eV for the cell shown. Number 8: uncorrected energy -96.3 eV for the cell shown. Number 9: uncorrected energy -135.3 eV for the cell shown. Number 10: uncorrected energy -85.5 eV for the cell shown. Number 11: uncorrected energy -122.7 eV for the cell shown. Number 12: uncorrected energy -239.0 eV for the cell shown. Number 13: uncorrected energy -98.0 eV for the cell shown. Number 14: uncorrected energy -25.6 eV for the cell shown. Number 15: uncorrected energy -128.8 eV for the cell shown. Number 16: uncorrected energy -130.4 eV for the cell shown. Number 17: uncorrected energy -53.1 eV for the cell shown. Number 18: uncorrected energy -119.6 eV for the cell shown. Number 19: uncorrected energy -88.4 eV for the cell shown. Number 20: uncorrected energy -35.9 eV for the cell shown.